No. 1
The following is a DFT calculation (GGA-PBE) of a relaxed structure of HfSc5Cd4.

Results
energy: -4.75 eV per atom
calculated volume: 223 Å³ per cell
formation energy: -0.223 eV per atom
density of states at the Fermi level: 8.68 states/eV/f.u.

a b c (Å): 3.3528 3.3528 19.8767
angles (deg): 90.00 90.00 90.00
Space group P4/mmm (No. 123)
One atom of each set of equivalent atoms:
Hf  0.0000  0.0000  0.0000 [1 per cell]
Sc  0.5000  0.5000  0.1049 [2 per cell]
Sc  0.5000  0.5000  0.3051 [2 per cell]
Sc  0.5000  0.5000  0.5000 [1 per cell]
Cd  0.0000  0.0000  0.2066 [2 per cell]
Cd  0.0000  0.0000  0.4029 [2 per cell]

=====

No. 2
The following is a DFT calculation (GGA-PBE) of a relaxed structure of HfScCd.

Results
energy: -5.88 eV per atom
calculated volume: 133 Å³ per cell
formation energy: -0.145 eV per atom
density of states at the Fermi level: 2.33 states/eV/f.u.

a b c (Å): 3.2192 3.2192 12.8776
angles (deg): 90.00 90.00 90.00
Space group I4mm (No. 107)
One atom of each set of equivalent atoms:
Hf  0.0000  0.0000  0.0000 [2 per cell]
Sc  0.0000  0.0000  0.3368 [2 per cell]
Cd  0.0000  0.0000  0.6682 [2 per cell]

=====

No. 3
The following is a DFT calculation (GGA-PBE) of a relaxed structure of Hf2Sc3Cd2.

Results
energy: -5.87 eV per atom
calculated volume: 318 Å³ per cell
formation energy: -0.055 eV per atom
density of states at the Fermi level: 6.64 states/eV/f.u.

a b c (Å): 4.8605 21.1309 3.0996
angles (deg): 90.00 90.00 90.00
Space group Cmmm (No. 65)
One atom of each set of equivalent atoms:
Hf  0.0000  0.2204  0.0000 [4 per cell]
Sc  0.0000  0.3502  0.5000 [4 per cell]
Sc  0.0000  0.5000  0.5000 [2 per cell]
Cd  0.0000  0.0724  0.0000 [4 per cell]

=====

No. 4
The following is a DFT calculation (GGA-PBE) of a relaxed structure of HfSc4Cd.

Results
energy: -6.09 eV per atom
calculated volume: 140 Å³ per cell
formation energy: -0.057 eV per atom
density of states at the Fermi level: 8.92 states/eV/f.u.

a b c (Å): 3.2302 3.2302 13.3797
angles (deg): 90.00 90.00 90.00
Space group P4/mmm (No. 123)
One atom of each set of equivalent atoms:
Hf  0.0000  0.0000  0.0000 [1 per cell]
Sc  0.0000  0.0000  0.3430 [2 per cell]
Sc  0.5000  0.5000  0.1638 [2 per cell]
Cd  0.5000  0.5000  0.5000 [1 per cell]